Density functional theory data (PBE) for a relaxed structure of Ac4Pr8Sm.

abc: 8.2526 8.2526 8.2526
angles: 91.47 91.47 91.47
Positions (direct):
1 Ac 0.0000 0.0000 0.0000
2 Ac 0.0000 0.5000 0.5000
3 Ac 0.5000 0.0000 0.5000
4 Ac 0.5000 0.5000 0.0000
5 Pr 0.2357 0.2357 0.7471
6 Pr 0.2357 0.7471 0.2357
7 Pr 0.2408 0.2408 0.2408
8 Pr 0.2529 0.7643 0.7643
9 Pr 0.7471 0.2357 0.2357
10 Pr 0.7592 0.7592 0.7592
11 Pr 0.7643 0.2529 0.7643
12 Pr 0.7643 0.7643 0.2529
13 Sm 0.5000 0.5000 0.5000

Calculated values
Energy relative to the elements in eV per atom: 0.50
Energy in eV per atom: -4.0732